Sr3MnNb2O9: relaxed, PBE with a Hubbard U.

Cell: 5.6772 5.6772 6.9559 Å, 90.00 90.00 120.00°
With the nearest neighbours (Å) after each atom.
Fractional positions:
1 Sr 0.3333 0.6667 0.6617  12 O 2.80-2.87
2 Sr 0.0000 0.0000 0.0000  12 O 2.84-2.85
3 Sr 0.6667 0.3333 0.3383  12 O 2.80-2.87
4 Mn 0.0000 0.0000 0.5000  6 O 1.98
5 Nb 0.3333 0.6667 0.1782  6 O 1.99-2.05
6 Nb 0.6667 0.3333 0.8218  6 O 1.99-2.05
7 O 0.8354 0.1646 0.6633  1 Mn 1.98, 1 Nb 1.99
8 O 0.8354 0.6709 0.6633  1 Mn 1.98, 1 Nb 1.99
9 O 0.3291 0.1646 0.6633  1 Mn 1.98, 1 Nb 1.99
10 O 0.6709 0.8354 0.3367  1 Mn 1.98, 1 Nb 1.99
11 O 0.1646 0.3291 0.3367  1 Mn 1.98, 1 Nb 1.99
12 O 0.1646 0.8354 0.3367  1 Mn 1.98, 1 Nb 1.99
13 O 0.5000 0.0000 0.0000  2 Nb 2.05
14 O 0.0000 0.5000 0.0000  2 Nb 2.05
15 O 0.5000 0.5000 0.0000  2 Nb 2.05

Total magnetic moment ... 1.0 μB/f.u.
Symmetry ... No. 164
Volume ... 194 Å³/f.u.
Final energy ... -115.67 eV per formula unit